The following is a GGA-PBE calculation of Sc2SeCl after structural relaxation, from the Alexandria database.

Values from the calculation:
- Size of the total moment: 0.0 μB per formula unit
- Raw formation energy: -1.03 eV per atom
- Excess energy over the best structure of this formula in the dataset: 0.329 eV/atom

```
data_Sc2SeCl
_cell_length_a 5.9140
_cell_length_b 5.9140
_cell_length_c 11.9034
_cell_angle_alpha 90.00
_cell_angle_beta 90.00
_cell_angle_gamma 90.00
_symmetry_space_group_name_H-M 'I -4 2 d'
_symmetry_Int_Tables_number 122
_symmetry_space_group_name_Hall 'I -4 2bw'
loop_
_atom_site_label
_atom_site_fract_x
_atom_site_fract_y
_atom_site_fract_z
Sc1 0.2428 0.2500 0.1250
Se1 0.0000 0.0000 0.5000
Cl1 0.0000 0.0000 0.0000
```